Entry 1:
The following is a DFT calculation (PBE) of an optimized crystal structure of PmGeRh2.

a = 4.2873 Å, b = 4.2873 Å, c = 5.3969 Å
α = 66.60°, β = 66.60°, γ = 60.00°
With the nearest neighbours (Å) after each atom.
Fractional positions:
Pm (0.0000, 0.0000, 0.0000)  8 Rh 3.04
Ge (0.5000, 0.5000, 0.5000)  6 Rh 2.56
Rh (0.2112, 0.2112, 0.3663)  3 Ge 2.56, 3 Rh 2.79
Rh (0.7888, 0.7888, 0.6337)  3 Ge 2.56, 3 Rh 2.79

Computed properties:
- Energy relative to the elements: -725.6 meV per atom
- Final energy: -0.24781 hartree per atom
- N(E_F): 1.88 states/eV/f.u.
- Theoretical density: 9.2 Mg/m³



Entry 2:
The following is a DFT calculation (PBE) of an optimized crystal structure of Pm3Ge4Rh4.

a = 4.3597 Å, b = 4.2364 Å, c = 12.5034 Å
α = 99.75°, β = 100.04°, γ = 90.00°
With the nearest neighbours (Å) after each atom.
Fractional positions:
Pm (0.3544, 0.8544, 0.7088)  6 Rh 3.08-3.30, 8 Ge 3.24-3.35
Rh (0.4464, 0.4464, 0.8928)  2 Ge 2.44, 1 Rh 2.60
Pm (0.0000, 0.0000, 0.0000)  4 Ge 3.20, 8 Rh 3.31
Rh (0.5536, 0.5536, 0.1072)  2 Ge 2.44, 1 Rh 2.60
Rh (0.8011, 0.3011, 0.6022)  5 Ge 2.43-2.50
Ge (0.7494, 0.7494, 0.4989)  4 Rh 2.46-2.50
Ge (0.9011, 0.4011, 0.8022)  3 Rh 2.43-2.44
Pm (0.6456, 0.1456, 0.2912)  6 Rh 3.08-3.30, 8 Ge 3.24-3.35
Ge (0.2506, 0.2506, 0.5011)  4 Rh 2.46-2.50
Rh (0.1989, 0.6989, 0.3978)  5 Ge 2.43-2.50
Ge (0.0989, 0.5989, 0.1978)  3 Rh 2.43-2.44

Computed properties:
- Energy relative to the elements: -793.1 meV per atom
- Final energy: -0.23670 hartree per atom
- N(E_F): 6.01 states/eV/f.u.
- Offset from the most stable computed form: 121 kJ/mol of formula units
- Theoretical density: 8.4 Mg/m³



Entry 3:
The following is a DFT calculation (PBE) of an optimized crystal structure of Pm3Ge4Rh7.

a = 4.1161 Å, b = 8.0581 Å, c = 8.3397 Å
α = 70.69°, β = 75.71°, γ = 75.20°
With the nearest neighbours (Å) after each atom.
Fractional positions:
Rh (0.1611, 0.6008, 0.0770)  3 Ge 2.49-2.55
Rh (0.5058, 0.7661, 0.2223)  3 Ge 2.48-2.55
Rh (0.6937, 0.1550, 0.4576)  4 Ge 2.52-2.61, 1 Rh 2.82
Ge (0.1132, 0.1102, 0.6634)  6 Rh 2.53-2.61
Pm (0.3298, 0.1744, 0.1660)  9 Rh 2.99-3.19, 4 Ge 3.05-3.09
Ge (0.8868, 0.8898, 0.3366)  6 Rh 2.53-2.61
Rh (0.4942, 0.2339, 0.7777)  3 Ge 2.48-2.55
Pm (0.6702, 0.8256, 0.8340)  9 Rh 2.99-3.19, 4 Ge 3.05-3.09
Ge (0.6653, 0.4482, 0.2211)  5 Rh 2.48-2.55
Pm (0.0000, 0.5000, 0.5000)  6 Ge 2.95-3.16, 2 Rh 3.28
Rh (0.8389, 0.3992, 0.9230)  3 Ge 2.49-2.55
Rh (0.0000, 0.0000, 0.0000)  2 Ge 2.61
Rh (0.3063, 0.8450, 0.5424)  4 Ge 2.52-2.61, 1 Rh 2.82
Ge (0.3347, 0.5518, 0.7789)  5 Rh 2.48-2.55

Computed properties:
- Energy relative to the elements: -833.7 meV per atom
- Final energy: -0.25161 hartree per atom
- N(E_F): 6.09 states/eV/f.u.
- Theoretical density: 9.7 Mg/m³



Entry 4:
The following is a DFT calculation (PBE) of an optimized crystal structure of Pm2Ge6Rh.

a = 4.0242 Å, b = 4.2229 Å, c = 11.3302 Å
α = 90.00°, β = 100.23°, γ = 90.00°
With the nearest neighbours (Å) after each atom.
Fractional positions:
Ge (0.0986, 0.5000, 0.1973)  1 Ge 2.50
Rh (0.7738, 0.5000, 0.5475)  5 Ge 2.45-2.49
Ge (0.4542, 0.5000, 0.9085)  2 Ge 2.55
Ge (0.2109, 0.5000, 0.4219)  2 Rh 2.45, 1 Ge 2.50
Ge (0.6028, 0.0000, 0.2056)  1 Ge 2.50
Pm (0.3336, 0.0000, 0.6671)  10 Ge 3.12-3.45, 4 Rh 3.21
Ge (0.8836, 0.5000, 0.7673)  1 Rh 2.45, 2 Ge 2.55
Ge (0.7147, 0.0000, 0.4295)  2 Rh 2.49, 1 Ge 2.50
Pm (0.9967, 0.0000, 0.9934)  10 Ge 3.07-3.29

Computed properties:
- Energy relative to the elements: -546.7 meV per atom
- Final energy: -0.20203 hartree per atom
- N(E_F): 2.76 states/eV/f.u.
- Offset from the most stable computed form: 0 kJ/mol of formula units
- Theoretical density: 7.3 Mg/m³



Entry 5:
The following is a DFT calculation (PBE) of an optimized crystal structure of Pm3Ge7Rh2.

a = 4.3322 Å, b = 4.3037 Å, c = 13.2786 Å
α = 99.33°, β = 90.00°, γ = 90.00°
With the nearest neighbours (Å) after each atom.
Fractional positions:
Ge (0.0000, 0.4131, 0.8281)  2 Rh 2.45
Rh (0.5000, 0.6289, 0.2597)  5 Ge 2.43-2.45
Pm (0.5000, 0.5000, 0.0000)  12 Ge 3.05-3.13, 2 Rh 3.40
Pm (0.0000, 0.8159, 0.6333)  10 Ge 3.22-3.35, 4 Rh 3.36
Pm (0.0000, 0.1841, 0.3667)  10 Ge 3.22-3.35, 4 Rh 3.36
Ge (0.5000, 0.0851, 0.1718)  2 Rh 2.44
Ge (0.5000, 0.9149, 0.8282)  2 Rh 2.44
Rh (0.5000, 0.3711, 0.7403)  5 Ge 2.43-2.45
Ge (0.5000, 0.2779, 0.5551)  1 Rh 2.43, 2 Ge 2.59
Ge (0.0000, 0.5869, 0.1719)  2 Rh 2.45
Ge (0.5000, 0.7221, 0.4449)  1 Rh 2.43, 2 Ge 2.59
Ge (0.0000, 0.0000, 0.0000)  4 Pm 3.05, 8 Ge 3.11-3.12

Computed properties:
- Energy relative to the elements: -717.4 meV per atom
- Final energy: -0.21402 hartree per atom
- N(E_F): 5.23 states/eV/f.u.
- Theoretical density: 7.8 Mg/m³



Entry 6:
The following is a DFT calculation (PBE) of an optimized crystal structure of Pm4Ge2Rh.

a = 4.4574 Å, b = 7.4910 Å, c = 7.3515 Å
α = 120.60°, β = 107.65°, γ = 90.00°
With the nearest neighbours (Å) after each atom.
Fractional positions:
Pm (0.1316, 0.7731, 0.2632)  3 Ge 2.91-2.99, 1 Rh 3.10
Rh (0.0000, 0.0000, 0.0000)  2 Ge 2.67, 4 Pm 2.95
Pm (0.3908, 0.7001, 0.7817)  2 Rh 2.95, 3 Ge 2.98-3.03
Ge (0.2256, 0.2265, 0.4512)  1 Rh 2.67, 3 Pm 2.91-2.98
Ge (0.7744, 0.7735, 0.5488)  1 Rh 2.67, 3 Pm 2.91-2.98
Pm (0.6092, 0.2999, 0.2183)  2 Rh 2.95, 3 Ge 2.98-3.03
Pm (0.8684, 0.2269, 0.7368)  3 Ge 2.91-2.99, 1 Rh 3.10

Computed properties:
- Energy relative to the elements: -593.5 meV per atom
- Final energy: -0.20865 hartree per atom
- N(E_F): 6.07 states/eV/f.u.
- Offset from the most stable computed form: 0 kJ/mol of formula units
- Theoretical density: 7.0 Mg/m³



final energy of number 2 (Pm3Ge4Rh4)? -0.23670 hartree per atom